A plane-wave DFT calculation with PBE was carried out for crystalline FePW at its relaxed geometry.

## Properties
* VASP energy: -77.54 eV per cell
* symmetry: P-62m, No. 189

Lattice parameters (Å, degrees): 6.349 6.349 3.487 90.00 90.00 120.00
Each line ends with the local moment (μB).
Sites, in units of the cell vectors:
P 0.617 0.000 0.500  0.00
P 0.383 0.383 0.500  0.00
P 0.000 0.617 0.500  0.00
Fe 0.333 0.667 0.000  -0.03
Fe 0.000 0.000 0.500  0.43
Fe 0.667 0.333 0.000  -0.02
W 0.279 0.000 0.000  0.02
W 0.721 0.721 0.000  0.02
W 0.000 0.279 0.000  0.01

=====

A plane-wave DFT calculation with PBE was carried out for crystalline Y2FeP6W at its relaxed geometry.

## Properties
* VASP energy: -140.57 eV per cell
* distance to the lowest polymorph of the same formula: 168 meV per atom
* symmetry: P-31c, No. 163

Lattice parameters (Å, degrees): 6.520 6.520 10.347 90.00 90.00 120.00
Sites, in units of the cell vectors:
W 0.667 0.333 0.250
W 0.333 0.667 0.750
Y 0.333 0.667 0.062
Y 0.667 0.333 0.938
Y 0.667 0.333 0.562
Y 0.333 0.667 0.438
P 0.312 0.225 0.126
P 0.225 0.913 0.874
P 0.688 0.913 0.626
P 0.913 0.688 0.126
P 0.312 0.087 0.374
P 0.688 0.775 0.874
P 0.225 0.312 0.626
P 0.775 0.688 0.374
P 0.087 0.312 0.874
P 0.775 0.087 0.126
P 0.087 0.775 0.626
P 0.913 0.225 0.374
Fe 0.000 0.000 0.250
Fe 0.000 0.000 0.750

=====

A plane-wave DFT calculation with PBE was carried out for crystalline Y2FeP6W at its relaxed geometry.

## Properties
* VASP energy: -71.97 eV per cell
* distance to the lowest polymorph of the same formula: 0 meV per atom
* symmetry: I4/m, No. 87

Lattice parameters (Å, degrees): 6.691 6.691 6.691 127.22 127.22 77.89
Each line ends with the local moment (μB).
Sites, in units of the cell vectors:
P 0.250 0.250 0.000  0.04
P 0.750 0.750 0.000  0.04
P 0.359 0.874 0.233  -0.01
P 0.641 0.126 0.767  -0.01
P 0.126 0.359 0.485  -0.01
P 0.874 0.641 0.515  -0.01
Y 0.250 0.750 0.500  0.04
Y 0.750 0.250 0.500  0.04
Fe 0.000 0.000 0.000  1.95
W 0.500 0.500 0.000  0.03

=====

A plane-wave DFT calculation with PBE was carried out for crystalline YFe3P at its relaxed geometry.

## Properties
* VASP energy: -37.28 eV per cell
* symmetry: Pm-3m, No. 221

Lattice parameters (Å, degrees): 4.182 4.182 4.182 90.00 90.00 90.00
Each line ends with the local moment (μB).
Sites, in units of the cell vectors:
Fe 0.500 0.000 0.000  1.69
Fe 0.000 0.000 0.500  1.68
Fe 0.000 0.500 0.000  1.77
Y 0.500 0.500 0.500  -0.26
P 0.000 0.000 0.000  -0.04

=====

A plane-wave DFT calculation with PBE was carried out for crystalline YFe4P2 at its relaxed geometry.

## Properties
* VASP energy: -110.60 eV per cell
* symmetry: P4_2/mnm, No. 136

Lattice parameters (Å, degrees): 6.984 6.984 3.604 90.00 90.00 90.00
Each line ends with the local moment (μB).
Sites, in units of the cell vectors:
Fe 0.581 0.844 0.000  0.90
Fe 0.844 0.581 0.000  0.85
Fe 0.081 0.656 0.500  0.93
Fe 0.419 0.156 0.000  0.90
Fe 0.156 0.419 0.000  0.85
Fe 0.656 0.081 0.500  0.89
Fe 0.344 0.919 0.500  0.89
Fe 0.919 0.344 0.500  0.93
P 0.220 0.220 0.500  -0.03
P 0.780 0.780 0.500  -0.03
P 0.720 0.280 0.000  -0.03
P 0.280 0.720 0.000  -0.03
Y 0.000 0.000 0.000  -0.09
Y 0.500 0.500 0.500  -0.09

=====

A plane-wave DFT calculation with PBE was carried out for crystalline YFe5P3 at its relaxed geometry.

## Properties
* VASP energy: -283.38 eV per cell
* symmetry: Pnma, No. 62

Lattice parameters (Å, degrees): 11.813 3.648 10.290 90.00 90.00 90.00
Each line ends with the local moment (μB).
Sites, in units of the cell vectors:
Fe 0.799 0.750 0.376  1.14
Fe 0.176 0.250 0.219  0.79
Fe 0.676 0.250 0.281  0.80
Fe 0.067 0.750 0.536  0.04
Fe 0.989 0.250 0.708  0.38
Fe 0.433 0.250 0.036  0.04
Fe 0.009 0.750 0.905  -0.11
Fe 0.489 0.250 0.792  0.39
Fe 0.324 0.750 0.719  0.80
Fe 0.824 0.750 0.781  0.79
Fe 0.509 0.750 0.595  -0.10
Fe 0.991 0.250 0.095  -0.10
Fe 0.201 0.250 0.624  1.14
Fe 0.701 0.250 0.876  1.14
Fe 0.511 0.750 0.208  0.39
Fe 0.011 0.750 0.292  0.38
Fe 0.933 0.250 0.464  0.04
Fe 0.567 0.750 0.964  0.04
Fe 0.491 0.250 0.405  -0.10
Fe 0.299 0.750 0.124  1.14
P 0.397 0.250 0.601  -0.02
P 0.612 0.250 0.078  -0.02
P 0.388 0.750 0.922  -0.02
P 0.897 0.250 0.899  -0.02
P 0.128 0.750 0.734  -0.02
P 0.372 0.250 0.234  -0.02
P 0.103 0.750 0.101  -0.02
P 0.872 0.250 0.266  -0.02
P 0.112 0.250 0.422  -0.02
P 0.628 0.750 0.766  -0.02
P 0.888 0.750 0.578  -0.02
P 0.603 0.750 0.399  -0.02
Y 0.296 0.750 0.419  -0.04
Y 0.204 0.250 0.919  -0.04
Y 0.796 0.750 0.081  -0.04
Y 0.704 0.250 0.581  -0.04

=====

A plane-wave DFT calculation with PBE was carried out for crystalline Zr2Fe12P7 at its relaxed geometry.

## Properties
* VASP energy: -170.27 eV per cell
* symmetry: P-6, No. 174

Lattice parameters (Å, degrees): 8.845 3.580 8.846 90.00 119.99 90.00
Each line ends with the local moment (μB).
Sites, in units of the cell vectors:
Fe 0.563 0.500 0.948  0.23
Fe 0.939 0.000 0.370  0.28
Fe 0.156 0.000 0.276  0.18
Fe 0.385 0.500 0.437  0.23
Fe 0.878 0.500 0.779  -1.14
Fe 0.630 0.000 0.569  0.28
Fe 0.431 0.000 0.061  0.29
Fe 0.120 0.000 0.844  0.18
Fe 0.901 0.500 0.122  -1.13
Fe 0.221 0.500 0.099  -1.14
Fe 0.052 0.500 0.615  0.23
Fe 0.724 0.000 0.880  0.18
P 0.000 0.000 0.000  0.01
P 0.413 0.000 0.297  0.00
P 0.289 0.500 0.884  0.00
P 0.116 0.500 0.405  0.00
P 0.703 0.000 0.115  0.00
P 0.885 0.000 0.587  0.00
P 0.595 0.500 0.711  0.00
Zr 0.667 0.500 0.333  0.01
Zr 0.333 0.000 0.667  0.02

=====

A plane-wave DFT calculation with PBE was carried out for crystalline PaFe at its relaxed geometry.

## Properties
* VASP energy: -36.30 eV per cell
* energy of formation from the pure elements: -173 meV/atom
* symmetry: Pmma, No. 51

Lattice parameters (Å, degrees): 3.908 3.306 5.288 90.00 90.00 90.00
Each line ends with the local moment (μB).
Sites, in units of the cell vectors:
Fe 0.750 0.000 0.819  0.13
Fe 0.250 0.000 0.181  0.13
Pa 0.250 0.500 0.718  -0.02
Pa 0.750 0.500 0.282  -0.02

=====

A plane-wave DFT calculation with PBE was carried out for crystalline PaFe at its relaxed geometry.

## Properties
* VASP energy: -17.87 eV per cell
* energy of formation from the pure elements: -32 meV/atom
* symmetry: Fm-3m, No. 225

Lattice parameters (Å, degrees): 3.736 3.736 3.736 60.00 60.00 60.00
Each line ends with the local moment (μB).
Sites, in units of the cell vectors:
Fe 0.000 0.000 0.000  0.21
Pa 0.500 0.500 0.500  0.07

=====

A plane-wave DFT calculation with PBE was carried out for crystalline PaFe at its relaxed geometry.

## Properties
* VASP energy: -35.54 eV per cell
* energy of formation from the pure elements: 16 meV/atom
* symmetry: P6_3/mmc, No. 194

Lattice parameters (Å, degrees): 3.573 3.573 6.688 90.00 90.00 120.00
Sites, in units of the cell vectors:
Fe 0.333 0.667 0.250
Fe 0.667 0.333 0.750
Pa 0.000 0.000 0.000
Pa 0.000 0.000 0.500

=====

A plane-wave DFT calculation with PBE was carried out for crystalline PaFe at its relaxed geometry.

## Properties
* VASP energy: -34.43 eV per cell
* energy of formation from the pure elements: 296 meV/atom
* symmetry: P6_3/mmc, No. 194

Lattice parameters (Å, degrees): 4.254 4.254 5.435 90.00 90.00 120.00
Sites, in units of the cell vectors:
Pa 0.000 0.000 0.438
Pa 0.333 0.667 0.938
Fe 0.333 0.667 0.437
Fe 0.000 0.000 0.937

=====

A plane-wave DFT calculation with PBE was carried out for crystalline PaFe at its relaxed geometry.

## Properties
* VASP energy: -36.48 eV per cell
* energy of formation from the pure elements: -217 meV/atom
* symmetry: P6_3/mmc, No. 194

Lattice parameters (Å, degrees): 3.976 3.976 5.455 90.00 90.00 120.00
Sites, in units of the cell vectors:
Pa 0.333 0.667 0.250
Pa 0.667 0.333 0.750
Fe 0.000 0.000 0.500
Fe 0.000 0.000 0.000